{
  "formula": "Sc2MnTl",
  "functional": "GGA-PBEsol",
  "state": "optimized geometry",
  "cell": [[4.029, 0.000, 0.000], [0.000, 4.413, 0.000], [0.000, 0.000, 4.413]],
  "species": ["Sc", "Tl", "Sc", "Mn"],
  "fractional_positions": [[0.000, 0.500, 0.000], [0.500, 0.500, 0.500], [0.000, 0.000, 0.500], [0.500, 0.000, 0.000]],
  "sg": "P4/mmm (123)",
  "e_form_kj_per_mol_atoms": -3.5,
  "total_magnetization_mub_per_atom": 0.6492
}

{
  "formula": "Sc2MnTl",
  "functional": "GGA-PBEsol",
  "state": "optimized geometry",
  "cell": [[-3.701, -3.024, -0.525], [-0.384, -2.661, -3.986], [0.728, -4.749, 0.200]],
  "species": ["Sc", "Tl", "Sc", "Mn"],
  "fractional_positions": [[0.250, 0.250, 0.250], [0.500, 0.500, 0.500], [0.750, 0.750, 0.750], [0.000, 0.000, 0.000]],
  "sg": "Fm-3m (225)",
  "e_form_kj_per_mol_atoms": -2.2,
  "total_magnetization_mub_per_atom": 0.6348
}

{
  "formula": "ScMn2Tl",
  "functional": "GGA-PBEsol",
  "state": "optimized geometry",
  "cell": [[-2.654, -0.103, -1.492], [-2.379, -1.457, 1.223], [-4.246, 7.067, 3.956]],
  "species": ["Mn", "Sc", "Tl", "Mn"],
  "fractional_positions": [[0.248, 0.248, 0.257], [0.500, 0.500, 0.500], [0.000, 0.000, 0.000], [0.752, 0.752, 0.743]],
  "sg": "R-3m (166)",
  "e_form_kj_per_mol_atoms": 48.0,
  "total_magnetization_mub_per_atom": 1.4356
}

{
  "formula": "ScMn2Tl",
  "functional": "GGA-PBEsol",
  "state": "optimized geometry",
  "cell": [[-0.325, -2.451, 2.917], [2.013, -2.874, -2.191], [3.597, 1.349, 1.535]],
  "species": ["Tl", "Mn", "Mn", "Sc"],
  "fractional_positions": [[0.500, 0.000, 0.000], [0.000, 0.000, 0.500], [0.000, 0.500, 0.000], [0.500, 0.500, 0.500]],
  "sg": "P4/mmm (123)",
  "e_form_kj_per_mol_atoms": 24.4,
  "total_magnetization_mub_per_atom": 1.2136
}

{
  "formula": "Sc4MnTl",
  "functional": "GGA-PBEsol",
  "state": "optimized geometry",
  "cell": [[5.684, 0.000, 0.000], [2.842, 4.922, 0.000], [2.842, 1.641, 4.641]],
  "species": ["Sc", "Tl", "Sc", "Sc", "Sc", "Mn"],
  "fractional_positions": [[0.374, 0.374, 0.374], [0.750, 0.750, 0.750], [0.374, 0.877, 0.374], [0.374, 0.374, 0.877], [0.877, 0.374, 0.374], [0.000, 0.000, 0.000]],
  "sg": "F-43m (216)",
  "e_form_kj_per_mol_atoms": 40.6,
  "total_magnetization_mub_per_atom": 0.5818
}

{
  "formula": "ScMnTlZn2",
  "functional": "GGA-PBEsol",
  "state": "optimized geometry",
  "cell": [[-1.234, -4.589, 1.582], [4.821, -1.349, -0.151], [0.605, 1.595, 5.098]],
  "species": ["Tl", "Sc", "Zn", "Zn", "Mn"],
  "fractional_positions": [[0.000, 0.000, 0.500], [0.000, 0.000, 0.000], [0.000, 0.500, 0.000], [0.500, 0.000, 0.000], [0.500, 0.500, 0.500]],
  "sg": "P4/mmm (123)",
  "e_form_kj_per_mol_atoms": 112.5,
  "total_magnetization_mub_per_atom": 0.8252
}

Fermi-level density of states values (in states/eV/atom) by entry order: 1.43, 1.59, 0.93, 0.92, 1.10, 1.09.